Below is ThGe2Pt4 after structural relaxation, with properties calculated at the PBE-GGA level.

Properties
DOS at the Fermi energy: 0.39 states/eV per atom
ΔE_f: -5.19 eV/f.u.
Spin magnetization: 0.0000 μB per atom

abc: 16.7657 4.0026 7.7764
angles: 90.00 90.00 90.00
Space group Pnma (No. 62)
Unique sites:
1 Th 0.1521 0.2500 0.0841 x4
2 Ge 0.0080 0.7500 0.2559 x4
3 Ge 0.1728 0.2500 0.6248 x4
4 Pt 0.0442 0.7500 0.9147 x4
5 Pt 0.0524 0.2500 0.4295 x4
6 Pt 0.1746 0.7500 0.3912 x4
7 Pt 0.2088 0.7500 0.8196 x4

---

Below is ZnHg2RuCl after structural relaxation, with properties calculated at the PBE-GGA level.

Properties
DOS at the Fermi energy: 0.61 states/eV per atom
E_form (uncorrected): 0.864 eV per atom
Spin magnetization: 0.5404 μB per atom

abc: 5.1794 5.1794 4.7790
angles: 90.00 90.00 90.00
Space group P4/mmm (No. 123)
Unique sites:
1 Zn 0.0000 0.0000 0.0000 x1
2 Hg 0.0000 0.5000 0.0000 x2
3 Ru 0.5000 0.5000 0.5000 x1
4 Cl 0.0000 0.0000 0.5000 x1

---

Below is Tb2Ce2Pb after structural relaxation, with properties calculated at the PBE-GGA level.

Properties
DOS at the Fermi energy: 2.65 states/eV per atom
ΔE_f: 1.13 eV/f.u.
Spin magnetization: 0.5235 μB per atom

abc: 4.4591 4.4591 16.6591
angles: 90.00 90.00 90.00
Space group I4/mmm (No. 139)
Unique sites:
1 Tb 0.0000 0.5000 0.2500 x4
2 Ce 0.0000 0.0000 0.0810 x4
3 Pb 0.0000 0.0000 0.5000 x2

---

Below is Ca4ZnCd2Hg after structural relaxation, with properties calculated at the PBE-GGA level.

Properties
DOS at the Fermi energy: 0.76 states/eV per atom
ΔE_f: -2.93 eV/f.u.
Spin magnetization: 0.0000 μB per atom

abc: 5.3684 5.3684 26.2428
angles: 90.00 90.00 120.00
Space group R-3m (No. 166, hexagonal axes)
Unique sites:
1 Ca 0.0000 0.0000 0.1242 x6
2 Ca 0.0000 0.0000 0.3743 x6
3 Zn 0.0000 0.0000 0.0000 x3
4 Cd 0.0000 0.0000 0.2508 x6
5 Hg 0.0000 0.0000 0.5000 x3

---

Below is GaPd3Pb after structural relaxation, with properties calculated at the PBE-GGA level.

Properties
DOS at the Fermi energy: 0.41 states/eV per atom
ΔE_f: -0.01 eV/f.u.
Spin magnetization: 0.0000 μB per atom

abc: 4.7054 4.7054 4.7054
angles: 90.00 90.00 90.00
Space group Pm-3m (No. 221)
Unique sites:
1 Ga 0.0000 0.0000 0.0000 x1
2 Pd 0.0000 0.0000 0.5000 x3
3 Pb 0.5000 0.5000 0.5000 x1

---

Below is Tm8MgPb6 after structural relaxation, with properties calculated at the PBE-GGA level.

Properties
DOS at the Fermi energy: 0.15 states/eV per atom
ΔE_f: -4.51 eV/f.u.
Spin magnetization: 0.0000 μB per atom

abc: 9.0924 9.0924 19.1610
angles: 90.00 90.00 120.00
Space group R-3 (No. 148, hexagonal axes)
Unique sites:
1 Tm 0.0000 0.0000 0.1670 x6
2 Tm 0.0032 0.7112 0.5964 x18
3 Mg 0.0000 0.0000 0.5000 x3
4 Pb 0.0018 0.6348 0.4246 x18

---

Below is LuScAu2 after structural relaxation, with properties calculated at the PBE-GGA level.

Properties
DOS at the Fermi energy: 0.48 states/eV per atom
ΔE_f: -3.37 eV/f.u.
Spin magnetization: 0.0000 μB per atom

abc: 6.9397 6.9397 6.9397
angles: 90.00 90.00 90.00
Space group Fm-3m (No. 225)
Unique sites:
1 Lu 0.0000 0.0000 0.0000 x4
2 Sc 0.0000 0.0000 0.5000 x4
3 Au 0.2500 0.2500 0.2500 x8

---

Below is LiAg after structural relaxation, with properties calculated at the PBE-GGA level.

Properties
DOS at the Fermi energy: 0.25 states/eV per atom
ΔE_f: -0.31 eV/f.u.
Spin magnetization: 0.0000 μB per atom

abc: 2.8290 10.2942 4.6769
angles: 90.00 90.00 90.00
Space group Cmcm (No. 63)
Unique sites:
1 Li 0.0000 0.1558 0.2500 x4
2 Ag 0.0000 0.4169 0.2500 x4

---

Below is ErBeCo2C after structural relaxation, with properties calculated at the PBE-GGA level.

Properties
DOS at the Fermi energy: 0.96 states/eV per atom
ΔE_f: -1.43 eV/f.u.
Spin magnetization: 0.0008 μB per atom

abc: 3.6289 10.0507 6.6483
angles: 90.00 90.00 90.00
Space group Cmcm (No. 63)
Unique sites:
1 Er 0.0000 0.0509 0.2500 x4
2 Be 0.0000 0.2288 0.7500 x4
3 Co 0.0000 0.3293 0.0612 x8
4 C 0.0000 0.5000 0.0000 x4

---

Below is MgCdAu after structural relaxation, with properties calculated at the PBE-GGA level.

Properties
DOS at the Fermi energy: 0.30 states/eV per atom
ΔE_f: -0.81 eV/f.u.
Spin magnetization: 0.0000 μB per atom

abc: 4.7557 4.7557 3.0973
angles: 90.00 90.00 120.00
Space group P3m1 (No. 156)
Unique sites:
1 Mg 0.0000 0.0000 0.0000 x1
2 Cd 0.3333 0.6667 0.4959 x1
3 Au 0.6667 0.3333 0.5003 x1

---

Below is Rb3YRh after structural relaxation, with properties calculated at the PBE-GGA level.

Properties
DOS at the Fermi energy: 2.11 states/eV per atom
ΔE_f: 5.07 eV/f.u.
Spin magnetization: 0.2655 μB per atom

abc: 6.3095 6.3095 6.3095
angles: 90.00 90.00 90.00
Space group Pm-3m (No. 221)
Unique sites:
1 Rb 0.0000 0.0000 0.5000 x3
2 Y 0.5000 0.5000 0.5000 x1
3 Rh 0.0000 0.0000 0.0000 x1

---

Below is AlBiN3 after structural relaxation, with properties calculated at the PBE-GGA level.

Properties
DOS at the Fermi energy: 0.67 states/eV per atom
E_form (uncorrected): 2.041 eV per atom
Spin magnetization: 0.0000 μB per atom

abc: 4.2408 4.2408 4.2408
angles: 90.00 90.00 90.00
Space group Pm-3m (No. 221)
Unique sites:
1 Al 0.0000 0.0000 0.0000 x1
2 Bi 0.5000 0.5000 0.5000 x1
3 N 0.0000 0.5000 0.5000 x3

---

- Number 1 is which compound?
  ThGe2Pt4